(1)
The following is a SCAN calculation of a PBEsol-optimized structure of CaTc2Br, from Alexandria.

The space group is Cmmm (No. 65) and the conventional cell measures 3.1063, 5.0313 and 9.1336 Å, with angles of 90.00, 90.00 and 90.00 degrees. The inequivalent atoms are Ca at (0.0000, 0.0000, 0.0000), Tc at (0.0000, 0.5000, 0.2703) and Br at (0.0000, 0.0000, 0.5000).

The formation energy without anion corrections comes out at 1.16 eV per atom. The relative energy among the computed polymorphs comes out at 18 kJ/mol of formula units.

(2)
The following is a SCAN calculation of a PBEsol-optimized structure of GaPdOF2, from Alexandria.

The space group is P4/mmm (No. 123) and the conventional cell measures 3.9143, 3.9143 and 3.7359 Å, with angles of 90.00, 90.00 and 90.00 degrees. The inequivalent atoms are Ga at (0.0000, 0.0000, 0.0000), Pd at (0.5000, 0.5000, 0.5000), O at (0.0000, 0.0000, 0.5000) and F at (0.0000, 0.5000, 0.0000).

The formation energy without anion corrections comes out at -1.45 eV per atom. The relative energy among the computed polymorphs comes out at 0 kJ/mol of formula units.

(3)
The following is a SCAN calculation of a PBEsol-optimized structure of BaHgW, from Alexandria.

The space group is I4mm (No. 107) and the conventional cell measures 3.0420, 3.0420 and 15.0207 Å, with angles of 90.00, 90.00 and 90.00 degrees. The inequivalent atoms are Ba at (0.0000, 0.0000, 0.0000), Hg at (0.0000, 0.0000, 0.6861) and W at (0.0000, 0.0000, 0.3180).

The formation energy from the elements comes out at 1.018 eV/atom. The relative energy among the computed polymorphs comes out at 0 kJ/mol of formula units.

(4)
The following is a SCAN calculation of a PBEsol-optimized structure of ZrTi2Tc, from Alexandria.

The space group is Fm-3m (No. 225) and the conventional cell measures 6.3912, 6.3912 and 6.3912 Å, with angles of 90.00, 90.00 and 90.00 degrees. The inequivalent atoms are Zr at (0.0000, 0.0000, 0.0000), Ti at (0.2500, 0.2500, 0.2500) and Tc at (0.0000, 0.0000, 0.5000).

The formation energy from the elements comes out at -0.116 eV/atom.

| no. | D(E_F) (states/eV per cell) |
| --- | --- |
| 1 | 11.07 |
| 2 | 0.71 |
| 3 | 4.10 |
| 4 | 27.70 |